This record from the Alexandria database describes a relaxed Rb2BaB crystal. The functional is PBE.

Cell lengths 4.212, 7.657, 7.891 Å; angles 114.79, 98.87, 101.85 degrees
Space group P1 (No. 1)
Inequivalent atoms, fractional coordinates:
Rb1 0.000 0.000 0.000 [1 per cell]
Rb2 0.046 0.329 0.686 [1 per cell]
Ba1 0.333 0.623 0.293 [1 per cell]
B1 0.676 0.390 0.052 [1 per cell]

Summary:
The energy of formation is 781.2 meV/atom. The calculation puts the density of states at the Fermi level at 3.31 states/eV/f.u. Its total magnetization is 0.0 Bohr magnetons per cell.